VASP calculation (PBE) on Zn2CdRh after structural relaxation.

## Properties
As for the total DFT energy (no corrections): -2.88 eV/atom. The spin magnetization comes out at 0.00 μB/f.u. For the formation energy, the calculation gives -0.178 eV per atom.

Lattice parameters (Å, degrees): 3.9241 3.9241 8.1302 90.00 90.00 90.00
Closest atoms and distances in Å follow each position.
Space group I4/mmm (No. 139)
Unique sites:
Zn 0.0000 0.5000 0.2500  4 Zn 2.77, 4 Cd 2.83, 4 Rh 2.83
Cd 0.0000 0.0000 0.0000  4 Rh 2.77, 8 Zn 2.83
Rh 0.0000 0.0000 0.5000  4 Cd 2.77, 8 Zn 2.83